# BaBeIO2

An optimized crystal structure of BaBeIO2 (PBE-GGA, Alexandria).

The value obtained for the density of states at the Fermi level is 3.32 states/eV/f.u. The theoretical density is 3.4 g/cm3. As for the total energy: -0.1253 Ha/atom. The raw formation energy comes out at 15 meV per atom. Its energy relative to the lowest polymorph listed for this composition is 811 meV/atom.

It has space group P4/mmm (No. 123), with a = 4.4704 Å, b = 4.4704 Å, c = 7.4787 Å, α = 90.00°, β = 90.00° and γ = 90.00°. The asymmetric unit holds Ba at (0.0000, 0.0000, 0.0000), Be at (0.5000, 0.5000, 0.5000), I at (0.0000, 0.0000, 0.5000) and O at (0.0000, 0.5000, 0.0000).

***

# BaBeIO2

An optimized crystal structure of BaBeIO2 (PBE-GGA, Alexandria).

The value obtained for the density of states at the Fermi level is 3.58 states/eV/f.u. The theoretical density is 5.3 g/cm3. As for the total energy: -0.1551 Ha/atom. The raw formation energy comes out at -796 meV per atom. Its energy relative to the lowest polymorph listed for this composition is 0 meV/atom.

It has space group P4/mmm (No. 123), with a = 4.4602 Å, b = 4.4602 Å, c = 4.7912 Å, α = 90.00°, β = 90.00° and γ = 90.00°. The asymmetric unit holds Ba at (0.0000, 0.0000, 0.0000), Be at (0.5000, 0.5000, 0.5000), I at (0.5000, 0.5000, 0.0000) and O at (0.0000, 0.5000, 0.5000).

***

# Ba2BeOsI

An optimized crystal structure of Ba2BeOsI (PBE-GGA, Alexandria).

The value obtained for the density of states at the Fermi level is 8.95 states/eV/f.u. The theoretical density is 5.2 g/cm3. As for the total energy: -0.1231 Ha/atom. The raw formation energy comes out at 720 meV per atom.

It has space group P4/mmm (No. 123), with a = 6.0826 Å, b = 6.0826 Å, c = 5.1838 Å, α = 90.00°, β = 90.00° and γ = 90.00°. The asymmetric unit holds Ba at (0.0000, 0.5000, 0.0000), Be at (0.0000, 0.0000, 0.5000), Os at (0.5000, 0.5000, 0.0000) and I at (0.5000, 0.5000, 0.5000).

***

Question: What is the formula in the first record?
Answer: BaBeIO2

***

Question: Look up the raw formation energy of the first one.
Answer: 15 meV per atom

***

Question: What is the formula in the second record?
Answer: BaBeIO2